A relaxed structure of Er3Tm4Te8, computed with GGA-PBE. Values from VASP.

Calculated values
Crystal system: monoclinic
Fermi-level density of states (states/eV per cell): 6.50
Formation energy (no corrections) (meV/atom): -1290.4

Structure (Quantum ESPRESSO input):
```
&SYSTEM
  ibrav = 0, nat = 15, ntyp = 3
/
ATOMIC_SPECIES
Te 127.60 Te.upf
Er 167.26 Er.upf
Tm 168.93 Tm.upf
CELL_PARAMETERS angstrom
-4.253 -7.075 -2.365
6.852 2.589 -4.480
4.703 -0.018 7.184
ATOMIC_POSITIONS angstrom
Te -1.307 -6.414 -1.675
Er 1.299 -2.243 -3.423
Tm 0.000 0.000 0.000
Te 6.304 1.924 -1.506
Te 8.609 1.910 2.013
Te 6.530 -1.550 0.857
Er 0.225 -3.547 2.409
Tm 2.351 -0.009 3.592
Te 3.112 -2.905 3.091
Te 5.251 0.647 4.209
Te 0.771 -2.954 -0.518
Te 4.189 -1.599 -2.752
Er 3.651 -2.252 0.169
Tm -2.126 -3.538 -1.183
Tm 3.426 1.295 -2.240
```